(1)
Compound: Re6TcRu3
Source: Alexandria
Functional: PBE
Structure: optimized geometry

Lattice parameters (Å, degrees): 5.083 7.788 9.468 90.00 122.38 90.00
Positions (direct):
Re 0.010 0.105 0.250
Re 0.010 0.395 0.750
Re 0.066 0.655 0.567
Re 0.066 0.845 0.067
Re 0.433 0.656 0.936
Re 0.433 0.844 0.436
Re 0.567 0.156 0.564
Re 0.567 0.344 0.064
Re 0.934 0.155 0.933
Re 0.934 0.345 0.433
Re 0.990 0.605 0.250
Re 0.990 0.895 0.750
Tc 0.500 0.000 0.000
Tc 0.500 0.500 0.500
Ru 0.000 0.000 0.500
Ru 0.000 0.500 0.000
Ru 0.474 0.132 0.250
Ru 0.474 0.368 0.750
Ru 0.526 0.632 0.250
Ru 0.526 0.868 0.750

Output
Symmetry: P2_1/c (14)
Formation energy (meV/atom): 501
Theoretical density (Mg/m³): 15.93

=====

(2)
Compound: BaScV2Os
Source: Alexandria
Functional: PBE
Structure: optimized geometry

Lattice parameters (Å, degrees): 4.530 4.530 5.536 90.00 90.00 90.00
Positions (direct):
Ba 0.000 0.000 0.000
Sc 0.000 0.000 0.500
V 0.000 0.500 0.500
V 0.500 0.000 0.500
Os 0.500 0.500 0.000

Output
Symmetry: P4/mmm (123)
Relative energy among the computed polymorphs (meV/atom): 597
Formation energy (meV/atom): 2158
Theoretical density (Mg/m³): 6.93

=====

(3)
Compound: ScPd2S4
Source: Alexandria
Functional: PBE
Structure: optimized geometry

Lattice parameters (Å, degrees): 7.019 7.019 7.019 138.91 138.91 59.50
Positions (direct):
Sc 0.000 0.000 0.000
Pd 0.395 0.395 0.000
Pd 0.605 0.605 0.000
S 0.000 0.500 0.500
S 0.210 0.210 0.000
S 0.500 0.000 0.500
S 0.790 0.790 0.000

Output
Symmetry: I4/mmm (139)
Energy relative to the elements, uncorrected (eV per atom): -0.198
Theoretical density (Mg/m³): 4.33

=====

(4)
Compound: PuAlCd2
Source: Alexandria
Functional: PBE
Structure: optimized geometry

Lattice parameters (Å, degrees): 5.054 5.054 5.054 60.00 60.00 60.00
Positions (direct):
Pu 0.000 0.000 0.000
Al 0.500 0.500 0.500
Cd 0.250 0.250 0.250
Cd 0.750 0.750 0.750

Output
Symmetry: Fm-3m (225)
Formation energy (meV/atom): 11
Theoretical density (Mg/m³): 9.02

=====

(5)
Compound: YTlZnTe3
Source: Alexandria
Functional: PBE
Structure: optimized geometry

Lattice parameters (Å, degrees): 9.622 4.373 10.248 90.00 107.41 90.00
Positions (direct):
Y 0.173 0.250 0.141
Y 0.827 0.750 0.859
Tl 0.293 0.750 0.776
Tl 0.707 0.250 0.224
Zn 0.417 0.750 0.396
Zn 0.583 0.250 0.604
Te 0.041 0.250 0.829
Te 0.288 0.250 0.470
Te 0.398 0.750 0.131
Te 0.602 0.250 0.869
Te 0.712 0.750 0.530
Te 0.959 0.750 0.171

Output
Symmetry: P2_1/m (11)
Energy relative to the elements, uncorrected (eV per atom): -0.832
Theoretical density (Mg/m³): 5.99

=====

(6)
Compound: La5Tl2Pt
Source: Alexandria
Functional: PBE
Structure: optimized geometry

Lattice parameters (Å, degrees): 8.118 12.901 4.966 90.00 90.00 90.00
Positions (direct):
La 0.000 0.000 0.000
La 0.136 0.293 0.000
La 0.182 0.572 0.500
La 0.318 0.072 0.500
La 0.364 0.793 0.000
La 0.500 0.500 0.000
La 0.636 0.207 0.000
La 0.682 0.928 0.500
La 0.818 0.428 0.500
La 0.864 0.707 0.000
Tl 0.082 0.833 0.500
Tl 0.418 0.333 0.500
Tl 0.582 0.667 0.500
Tl 0.918 0.167 0.500
Pt 0.000 0.500 0.000
Pt 0.500 0.000 0.000

Output
Symmetry: Pbam (55)
Formation energy (meV/atom): -542
Theoretical density (Mg/m³): 8.29

=====

(7)
Compound: Ca3Si2Ge3
Source: Alexandria
Functional: PBE
Structure: optimized geometry

Lattice parameters (Å, degrees): 5.941 5.941 14.337 90.00 90.00 135.69
Positions (direct):
Ca 0.060 0.940 0.614
Ca 0.060 0.940 0.886
Ca 0.339 0.661 0.750
Ca 0.661 0.339 0.250
Ca 0.940 0.060 0.114
Ca 0.940 0.060 0.386
Si 0.226 0.774 0.111
Si 0.226 0.774 0.389
Si 0.774 0.226 0.611
Si 0.774 0.226 0.889
Ge 0.353 0.647 0.537
Ge 0.353 0.647 0.963
Ge 0.378 0.622 0.250
Ge 0.622 0.378 0.750
Ge 0.647 0.353 0.037
Ge 0.647 0.353 0.463

Output
Symmetry: Cmcm (63)
Relative energy among the computed polymorphs (meV/atom): 0
Energy relative to the elements, uncorrected (eV per atom): -0.384
Theoretical density (Mg/m³): 3.71

=====

(8)
Compound: Fe2CoIr9
Source: Alexandria
Functional: PBE
Structure: optimized geometry

Lattice parameters (Å, degrees): 3.815 3.815 11.454 90.00 90.00 90.00
Positions (direct):
Fe 0.000 0.000 0.170
Fe 0.000 0.000 0.830
Co 0.000 0.000 0.500
Ir 0.000 0.500 0.000
Ir 0.000 0.500 0.333
Ir 0.000 0.500 0.667
Ir 0.500 0.000 0.000
Ir 0.500 0.000 0.333
Ir 0.500 0.000 0.667
Ir 0.500 0.500 0.167
Ir 0.500 0.500 0.500
Ir 0.500 0.500 0.833

Output
Symmetry: P4/mmm (123)
Formation energy (meV/atom): -18
Theoretical density (Mg/m³): 18.93

=====

(9)
Compound: TaPbCl2
Source: Alexandria
Functional: PBE
Structure: optimized geometry

Lattice parameters (Å, degrees): 3.083 3.083 11.137 90.00 90.00 90.00
Positions (direct):
Ta 0.000 0.000 0.000
Pb 0.000 0.000 0.500
Cl 0.500 0.500 0.136
Cl 0.500 0.500 0.864

Output
Symmetry: P4/mmm (123)
Relative energy among the computed polymorphs (meV/atom): 351
Energy relative to the elements, uncorrected (eV per atom): -0.137
Theoretical density (Mg/m³): 7.20

=====

(10)
Compound: BaCa2Zn
Source: Alexandria
Functional: PBE
Structure: optimized geometry

Lattice parameters (Å, degrees): 7.295 7.295 3.884 104.00 104.00 120.46
Positions (direct):
Ba 0.000 0.000 0.000
Ca 0.000 0.500 0.500
Ca 0.500 0.000 0.500
Zn 0.500 0.500 0.000

Output
Symmetry: C2/m (12)
Formation energy (meV/atom): 121
Theoretical density (Mg/m³): 3.02

=====

(11)
Compound: RbPu2PdSe4
Source: Alexandria
Functional: PBE
Structure: optimized geometry

Lattice parameters (Å, degrees): 7.486 7.486 14.525 90.00 90.00 147.50
Positions (direct):
Rb 0.113 0.887 0.750
Rb 0.887 0.113 0.250
Pu 0.367 0.633 0.565
Pu 0.367 0.633 0.935
Pu 0.633 0.367 0.065
Pu 0.633 0.367 0.435
Pd 0.164 0.836 0.250
Pd 0.836 0.164 0.750
Se 0.000 0.000 0.000
Se 0.000 0.000 0.500
Se 0.263 0.737 0.104
Se 0.263 0.737 0.396
Se 0.434 0.566 0.750
Se 0.566 0.434 0.250
Se 0.737 0.263 0.604
Se 0.737 0.263 0.896

Output
Symmetry: Cmcm (63)
Energy relative to the elements, uncorrected (eV per atom): -1.250
Theoretical density (Mg/m³): 7.56

=====

(12)
Compound: LaCd3Te
Source: Alexandria
Functional: PBE
Structure: optimized geometry

Lattice parameters (Å, degrees): 6.103 6.103 6.103 90.00 90.00 90.00
Positions (direct):
La 0.000 0.000 0.000
Cd 0.000 0.000 0.500
Cd 0.000 0.500 0.000
Cd 0.500 0.000 0.000
Te 0.500 0.500 0.500

Output
Symmetry: Pm-3m (221)
Relative energy among the computed polymorphs (meV/atom): 322
Energy relative to the elements, uncorrected (eV per atom): 0.664
Theoretical density (Mg/m³): 4.41